DFT (PBE-GGA) results for DyMg2AlAg4 after structural relaxation.

## Properties
The calculation puts the density of states at the Fermi level at 0.471 states/eV/atom. As for the formation energy: -0.196 eV/atom. The calculation puts the uncorrected energy at -3.0632 eV/atom. For the magnetization, the calculation gives 0.000 μB/f.u.

```
data_DyMg2AlAg4
_space_group_name_H-M_alt 'R -3 m'
_space_group_IT_number 166
_space_group_name_Hall '-R 3 2"'
_cell_length_a 4.6479
_cell_length_b 4.6479
_cell_length_c 25.3799
_cell_angle_alpha 90.00
_cell_angle_beta 90.00
_cell_angle_gamma 120.00
loop_
_atom_site_label
_atom_site_type_symbol
_atom_site_fract_x
_atom_site_fract_y
_atom_site_fract_z
_atom_site_occupancy
Dy1 Dy 0.0000 0.0000 0.0000 1
Mg1 Mg 0.0000 0.0000 0.2459 1
Al1 Al 0.0000 0.0000 0.5000 1
Ag1 Ag 0.0000 0.0000 0.1297 1
Ag2 Ag 0.0000 0.0000 0.3931 1
```